Record 1
{
  "formula": "NdTlGe2",
  "functional": "GGA-PBE",
  "state": "optimized geometry",
  "lattice_angstrom": [[-4.715, 0.154, -1.260], [-3.457, -0.455, 3.418], [-2.741, 7.160, 1.669]],
  "species": ["Tl", "Nd", "Ge", "Ge"],
  "fractional_positions": [[0.000, 0.000, 0.000], [0.500, 0.500, 0.500], [0.122, 0.122, 0.633], [0.878, 0.878, 0.367]],
  "density_g_cm3": 5.4,
  "dft_energy_ev_per_atom": -3.8818,
  "formation_enthalpy_0k_mev_per_atom": 210
}

***

Record 2
{
  "formula": "Nd7TlGe5",
  "functional": "GGA-PBE",
  "state": "optimized geometry",
  "lattice_angstrom": [[-2.795, -1.072, -5.491], [2.067, -7.293, -3.190], [-7.562, -3.107, 0.894]],
  "species": ["Nd", "Nd", "Nd", "Nd", "Nd", "Nd", "Nd", "Tl", "Ge", "Ge", "Ge", "Ge", "Ge"],
  "fractional_positions": [[0.651, 0.349, 0.349], [0.274, 0.726, 0.726], [0.980, 0.339, 0.701], [0.980, 0.701, 0.339], [0.289, 0.211, 0.211], [0.542, 0.791, 0.125], [0.542, 0.125, 0.791], [0.965, 0.035, 0.035], [0.463, 0.010, 0.487], [0.040, 0.010, 0.487], [0.463, 0.487, 0.010], [0.040, 0.487, 0.010], [0.771, 0.729, 0.729]],
  "density_g_cm3": 7.3,
  "dft_energy_ev_per_atom": -5.0304,
  "formation_enthalpy_0k_mev_per_atom": -505
}

***

Record 3
{
  "formula": "Nd3TlGe2",
  "functional": "GGA-PBE",
  "state": "optimized geometry",
  "lattice_angstrom": [[4.362, 0.000, -1.380], [0.000, 4.355, 0.000], [0.247, 0.000, 8.363]],
  "species": ["Nd", "Nd", "Nd", "Tl", "Ge", "Ge"],
  "fractional_positions": [[0.328, 0.000, 0.655], [0.672, 0.000, 0.345], [0.500, 0.500, 0.000], [0.000, 0.000, 0.000], [0.154, 0.500, 0.308], [0.846, 0.500, 0.692]],
  "density_g_cm3": 8.1,
  "dft_energy_ev_per_atom": -4.8254,
  "formation_enthalpy_0k_mev_per_atom": -508
}

***

Record 4
{
  "formula": "NdTl2Ge",
  "functional": "GGA-PBE",
  "state": "optimized geometry",
  "lattice_angstrom": [[-0.951, -2.182, 2.587], [-2.701, -2.203, -0.462], [5.765, -9.192, -3.245]],
  "species": ["Tl", "Tl", "Nd", "Ge"],
  "fractional_positions": [[0.096, 0.096, 0.711], [0.904, 0.904, 0.289], [0.000, 0.000, 0.000], [0.500, 0.500, 0.500]],
  "density_g_cm3": 8.7,
  "dft_energy_ev_per_atom": -3.3359,
  "formation_enthalpy_0k_mev_per_atom": 194
}

***

Record 5
{
  "formula": "Nd3TlGe",
  "functional": "GGA-PBE",
  "state": "optimized geometry",
  "lattice_angstrom": [[-4.815, -2.530, -2.696], [3.459, -4.397, 2.358], [-3.614, 3.957, 7.379]],
  "species": ["Nd", "Nd", "Nd", "Nd", "Nd", "Nd", "Tl", "Tl", "Ge", "Ge"],
  "fractional_positions": [[0.191, 0.691, 0.881], [0.809, 0.309, 0.119], [0.204, 0.084, 0.289], [0.416, 0.296, 0.711], [0.796, 0.916, 0.711], [0.584, 0.704, 0.289], [0.793, 0.293, 0.500], [0.207, 0.707, 0.500], [0.750, 0.750, 0.000], [0.250, 0.250, 0.000]],
  "density_g_cm3": 8.0,
  "dft_energy_ev_per_atom": -4.7208,
  "formation_enthalpy_0k_mev_per_atom": -463
}

***

Record 6
{
  "formula": "Nd8TlGe5",
  "functional": "GGA-PBE",
  "state": "optimized geometry",
  "lattice_angstrom": [[7.566, 0.000, -2.633], [-3.760, 6.543, -2.689], [-0.046, 0.000, 8.011]],
  "species": ["Nd", "Nd", "Nd", "Nd", "Nd", "Nd", "Nd", "Nd", "Tl", "Ge", "Ge", "Ge", "Ge", "Ge"],
  "fractional_positions": [[0.124, 0.761, 0.017], [0.983, 0.106, 0.743], [0.747, 0.243, 0.366], [0.634, 0.381, 0.877], [0.496, 0.619, 0.253], [0.637, 0.894, 0.876], [0.257, 0.239, 0.363], [0.123, 0.757, 0.504], [0.250, 0.500, 0.750], [0.005, 0.379, 0.129], [0.871, 0.876, 0.249], [0.751, 0.621, 0.627], [0.500, 0.000, 0.500], [0.373, 0.124, 0.995]],
  "density_g_cm3": 7.2,
  "dft_energy_ev_per_atom": -5.2555,
  "formation_enthalpy_0k_mev_per_atom": -713
}

***

Record 7
{
  "formula": "Nd5Tl2Ge2",
  "functional": "GGA-PBE",
  "state": "optimized geometry",
  "lattice_angstrom": [[-2.527, 4.679, -6.077], [2.361, -5.558, -5.261], [-8.546, -0.707, 3.008]],
  "species": ["Nd", "Nd", "Nd", "Nd", "Nd", "Nd", "Nd", "Nd", "Nd", "Nd", "Tl", "Tl", "Tl", "Tl", "Ge", "Ge", "Ge", "Ge"],
  "fractional_positions": [[0.000, 0.000, 0.000], [0.500, 0.500, 0.000], [0.824, 0.809, 0.253], [0.176, 0.444, 0.253], [0.324, 0.944, 0.253], [0.676, 0.309, 0.253], [0.176, 0.191, 0.747], [0.824, 0.556, 0.747], [0.676, 0.056, 0.747], [0.324, 0.691, 0.747], [0.000, 0.218, 0.436], [0.500, 0.718, 0.436], [0.000, 0.782, 0.564], [0.500, 0.282, 0.564], [0.626, 0.878, 0.000], [0.374, 0.122, 0.000], [0.126, 0.622, 0.000], [0.874, 0.378, 0.000]],
  "density_g_cm3": 8.0,
  "dft_energy_ev_per_atom": -4.7741,
  "formation_enthalpy_0k_mev_per_atom": -573
}

***

Record 8
{
  "formula": "Nd5TmGe4",
  "functional": "GGA-PBE",
  "state": "optimized geometry",
  "lattice_angstrom": [[-1.187, -3.813, -3.118], [3.661, -4.429, 4.021], [-9.492, 4.755, 1.915]],
  "species": ["Nd", "Nd", "Nd", "Nd", "Nd", "Tm", "Ge", "Ge", "Ge", "Ge"],
  "fractional_positions": [[0.834, 0.675, 0.669], [0.836, 0.169, 0.671], [0.164, 0.831, 0.329], [0.500, 0.500, 0.000], [0.166, 0.325, 0.331], [0.500, 0.000, 0.000], [0.325, 0.897, 0.649], [0.991, 0.743, 0.983], [0.675, 0.103, 0.351], [0.009, 0.257, 0.017]],
  "density_g_cm3": 7.0,
  "dft_energy_ev_per_atom": -5.2876,
  "formation_enthalpy_0k_mev_per_atom": -610
}

***

Record 9
{
  "formula": "Nd3TmGe2",
  "functional": "GGA-PBE",
  "state": "optimized geometry",
  "lattice_angstrom": [[4.260, 0.001, -1.231], [-0.360, 4.378, -1.245], [0.244, 0.144, 8.805]],
  "species": ["Nd", "Nd", "Nd", "Tm", "Ge", "Ge"],
  "fractional_positions": [[0.500, 0.500, 0.000], [0.820, 0.319, 0.639], [0.180, 0.681, 0.361], [0.000, 0.000, 0.000], [0.368, 0.868, 0.735], [0.632, 0.132, 0.265]],
  "density_g_cm3": 7.5,
  "dft_energy_ev_per_atom": -5.2800,
  "formation_enthalpy_0k_mev_per_atom": -612
}

***

Record 10
{
  "formula": "NdTm2Ge",
  "functional": "GGA-PBE",
  "state": "optimized geometry",
  "lattice_angstrom": [[3.647, 0.000, 0.000], [1.823, 3.158, 0.000], [1.823, 1.053, 9.939]],
  "species": ["Ge", "Tm", "Tm", "Nd"],
  "fractional_positions": [[0.000, 0.000, 0.000], [0.267, 0.267, 0.198], [0.733, 0.733, 0.802], [0.500, 0.500, 0.500]],
  "density_g_cm3": 8.0,
  "dft_energy_ev_per_atom": -4.8183,
  "formation_enthalpy_0k_mev_per_atom": -236
}

***

Record 11
{
  "formula": "NdTm4Ge4",
  "functional": "GGA-PBE",
  "state": "optimized geometry",
  "lattice_angstrom": [[-3.841, -3.167, 2.802], [0.708, -6.575, -6.460], [6.806, -3.996, 4.813]],
  "species": ["Nd", "Nd", "Tm", "Tm", "Tm", "Tm", "Tm", "Tm", "Tm", "Tm", "Ge", "Ge", "Ge", "Ge", "Ge", "Ge", "Ge", "Ge"],
  "fractional_positions": [[0.000, 0.000, 0.000], [0.500, 0.500, 0.500], [0.388, 0.347, 0.893], [0.888, 0.607, 0.847], [0.388, 0.653, 0.107], [0.112, 0.153, 0.607], [0.612, 0.893, 0.653], [0.112, 0.847, 0.393], [0.888, 0.393, 0.153], [0.612, 0.107, 0.347], [0.605, 0.794, 0.353], [0.605, 0.206, 0.647], [0.105, 0.853, 0.706], [0.895, 0.294, 0.853], [0.895, 0.706, 0.147], [0.395, 0.353, 0.206], [0.395, 0.647, 0.794], [0.105, 0.147, 0.294]],
  "density_g_cm3": 7.6,
  "dft_energy_ev_per_atom": -5.1405,
  "formation_enthalpy_0k_mev_per_atom": -571
}

***

Record 12
{
  "formula": "Nd4TmGe2",
  "functional": "GGA-PBE",
  "state": "optimized geometry",
  "lattice_angstrom": [[-4.178, -1.447, 2.402], [0.332, -2.887, 4.108], [-0.833, 6.724, 7.874]],
  "species": ["Nd", "Nd", "Nd", "Nd", "Tm", "Ge", "Ge"],
  "fractional_positions": [[0.703, 0.703, 0.891], [0.892, 0.892, 0.323], [0.297, 0.297, 0.109], [0.108, 0.108, 0.677], [0.500, 0.500, 0.500], [0.599, 0.599, 0.204], [0.401, 0.401, 0.796]],
  "density_g_cm3": 6.8,
  "dft_energy_ev_per_atom": -5.0265,
  "formation_enthalpy_0k_mev_per_atom": -344
}